Computed, not measured: an optimized crystal structure of Be2InCu2 at the PBE level of DFT.

Computed properties:
The formation energy is 0.15 eV/atom. As for the density of states at the Fermi level: 0.27 states/eV/atom. The crystal system is tetragonal. The value obtained for the energy above the most stable polymorph in this dataset is 0.00 eV per formula unit. For the raw total energy, the calculation gives -35.3 eV per cell.

Unit cell a=6.7771 b=6.7771 c=2.7417 alpha=90.00 beta=90.00 gamma=90.00
Space group P4/mbm (No. 127)
One atom of each set of equivalent atoms:
Be  0.1172  0.3828  0.0000 x4
In  0.0000  0.0000  0.0000 x2
Cu  0.1669  0.6669  0.5000 x4